Entry 1:
This record from the Alexandria database describes Sr2BIN2 at its PBEsol-relaxed geometry. The functional is SCAN.

```
Sr2BIN2
1.0
4.1815 0.0000 0.0000
0.0000 10.2382 0.0241
0.0000 -0.2945 13.1510
N Sr B I
8 8 4 4
Direct
0.2500 0.3037 0.4459 N
0.7500 0.2710 0.2062 N
0.7500 0.4751 0.6613 N
0.7500 0.6963 0.5541 N
0.2500 0.7290 0.7938 N
0.2500 0.5249 0.3387 N
0.7500 0.0511 0.0905 N
0.2500 0.9489 0.9095 N
0.7500 0.6510 0.3687 Sr
0.7500 0.0777 0.9036 Sr
0.2500 0.3490 0.6313 Sr
0.2500 0.8060 0.6152 Sr
0.2500 0.9223 0.0964 Sr
0.7500 0.1940 0.3848 Sr
0.7500 0.6030 0.8261 Sr
0.2500 0.3970 0.1739 Sr
0.2500 0.8388 0.8523 B
0.7500 0.5826 0.6040 B
0.2500 0.4174 0.3960 B
0.7500 0.1612 0.1477 B
0.2500 0.3480 0.9046 I
0.2500 0.9219 0.3585 I
0.7500 0.6520 0.0954 I
0.7500 0.0781 0.6415 I
```

Electronic total energy: -465.3 eV for the cell shown
Total magnetization: 0.000 μB/atom
Formation energy from raw total energies: -1.502 eV/atom

***

Entry 2:
This record from the Alexandria database describes TaBI2N at its PBEsol-relaxed geometry. The functional is SCAN.

```
TaBI2N
1.0
2.7957 0.0000 0.0000
0.0000 5.9932 0.0000
0.0000 0.0000 5.9932
I N B Ta
2 1 1 1
Direct
0.0000 0.0000 0.5000 I
0.0000 0.5000 0.0000 I
0.5000 0.0000 0.0000 N
0.0000 0.0000 0.0000 B
0.5000 0.5000 0.5000 Ta
```

Electronic total energy: -152.8 eV for the cell shown
Total magnetization: 0.431 μB/atom
Formation energy from raw total energies: 0.806 eV/atom

***

Entry 3:
This record from the Alexandria database describes TcBI2N at its PBEsol-relaxed geometry. The functional is SCAN.

```
TcBI2N
1.0
-3.0799 0.5828 2.5554
-3.1089 -2.2973 -3.2231
0.9871 -4.4191 2.1975
I Tc B N
2 1 1 1
Direct
0.0000 0.5000 0.0000 I
0.0000 0.0000 0.5000 I
0.5000 0.0000 0.0000 Tc
0.0000 0.0000 0.0000 B
0.5000 0.5000 0.5000 N
```

Electronic total energy: -115.7 eV for the cell shown
Total magnetization: 0.942 μB/atom
Formation energy from raw total energies: 1.916 eV/atom

***

Entry 4:
This record from the Alexandria database describes BTeI2N at its PBEsol-relaxed geometry. The functional is SCAN.

```
BTeI2N
1.0
4.5952 0.0000 0.0000
0.0000 4.9404 0.0000
0.0000 0.0000 4.9404
I N B Te
2 1 1 1
Direct
0.0000 0.5000 0.0000 I
0.0000 0.0000 0.5000 I
0.0000 0.0000 0.0000 N
0.5000 0.5000 0.5000 B
0.5000 0.0000 0.0000 Te
```

Electronic total energy: -118.9 eV for the cell shown
Total magnetization: 0.000 μB/atom
Formation energy from raw total energies: 1.713 eV/atom

***

Entry 5:
This record from the Alexandria database describes ZnBIN2 at its PBEsol-relaxed geometry. The functional is SCAN.

```
ZnBIN2
1.0
-2.5883 -0.6407 -2.1530
2.2265 -1.1665 -2.3296
-0.5467 -5.8071 2.3854
N B Zn I
2 1 1 1
Direct
0.0000 0.5000 0.0000 N
0.5000 0.0000 0.0000 N
0.0000 0.0000 0.0000 B
0.5000 0.5000 0.5000 Zn
0.0000 0.0000 0.5000 I
```

Electronic total energy: -69.0 eV for the cell shown
Total magnetization: 0.000 μB/atom
Formation energy from raw total energies: 1.450 eV/atom

***

Entry 6:
This record from the Alexandria database describes NaBI2O at its PBEsol-relaxed geometry. The functional is SCAN.

```
NaBI2O
1.0
4.1704 0.0000 0.0000
0.0000 5.7167 0.0000
0.0000 0.0000 5.7167
Na I B O
1 2 1 1
Direct
0.0000 0.0000 0.0000 Na
0.0000 0.0000 0.5000 I
0.0000 0.5000 0.0000 I
0.5000 0.5000 0.5000 B
0.5000 0.0000 0.0000 O
```

Electronic total energy: -86.9 eV for the cell shown
Total magnetization: 0.400 μB/atom
Formation energy from raw total energies: 0.886 eV/atom